# 1
Compound: Cs2KNa2
Source: Alexandria via LeMat-Bulk
Functional: GGA-PBE
Structure: optimized geometry

Output
Formation enthalpy at 0 K ... 0.054 eV per atom
Energy ... -1.034 eV/atom

Structure (POSCAR):
```
Cs2KNa2
1.0
-2.495 2.495 14.959
2.495 -2.495 14.959
2.495 2.495 -14.959
Cs K Na
2 1 2
Direct
0.124 0.124 0.000
0.876 0.876 0.000
0.500 0.500 0.000
0.250 0.750 0.500
0.750 0.250 0.500
```

=====

# 2
Compound: Cs4K6Na
Source: Alexandria via LeMat-Bulk
Functional: GGA-PBE
Structure: optimized geometry

Output
Formation enthalpy at 0 K ... 0.048 eV per atom
Energy ... -0.981 eV/atom

Structure (POSCAR):
```
Cs4K6Na
1.0
-4.693 4.693 10.788
4.693 -4.693 10.788
4.693 4.693 -10.788
Cs K Na
4 6 1
Direct
0.017 0.632 0.000
0.368 0.368 0.385
0.632 0.017 0.000
0.983 0.983 0.615
0.000 0.500 0.500
0.229 0.229 0.661
0.431 0.771 0.000
0.500 0.000 0.500
0.569 0.569 0.339
0.771 0.431 0.000
0.000 0.000 0.000
```

=====

# 3
Compound: Cs2K12Na7
Source: Alexandria via LeMat-Bulk
Functional: GGA-PBE
Structure: optimized geometry

Output
Formation enthalpy at 0 K ... 0.025 eV per atom
Energy ... -1.123 eV/atom

Structure (POSCAR):
```
Cs2K12Na7
1.0
18.104 0.000 0.000
-9.052 15.679 0.000
0.000 0.000 4.694
Cs K Na
2 12 7
Direct
0.000 0.000 0.000
0.333 0.667 0.500
0.049 0.265 0.500
0.108 0.703 0.000
0.215 0.951 0.500
0.297 0.404 0.000
0.407 0.178 0.000
0.529 0.428 0.500
0.572 0.101 0.500
0.596 0.892 0.000
0.735 0.785 0.500
0.771 0.593 0.000
0.822 0.229 0.000
0.899 0.471 0.500
0.092 0.468 0.000
0.233 0.193 0.500
0.376 0.908 0.000
0.532 0.624 0.000
0.667 0.333 0.000
0.807 0.040 0.500
0.960 0.767 0.500
```

=====

# 4
Compound: Cs3K4Na2
Source: Alexandria via LeMat-Bulk
Functional: GGA-PBE
Structure: optimized geometry

Output
Formation enthalpy at 0 K ... 0.026 eV per atom
Energy ... -1.040 eV/atom

Structure (POSCAR):
```
Cs3K4Na2
1.0
8.068 -3.696 0.000
8.068 3.696 0.000
-7.395 0.000 11.447
Cs K Na
3 4 2
Direct
0.000 0.000 0.000
0.336 0.336 0.334
0.664 0.664 0.666
0.076 0.076 0.398
0.301 0.301 0.952
0.699 0.699 0.048
0.924 0.924 0.602
0.389 0.389 0.719
0.611 0.611 0.281
```

=====

# 5
Compound: Cs3K2Na9
Source: Alexandria via LeMat-Bulk
Functional: GGA-PBE
Structure: optimized geometry

Output
Formation enthalpy at 0 K ... 0.030 eV per atom
Energy ... -1.158 eV/atom

Structure (POSCAR):
```
Cs3K2Na9
1.0
-3.205 6.396 9.681
3.205 -6.396 9.681
3.205 6.396 -9.681
Cs K Na
3 2 9
Direct
0.000 0.000 0.000
0.290 0.290 0.000
0.710 0.710 0.000
0.304 0.500 0.804
0.696 0.500 0.196
0.029 0.676 0.353
0.149 0.861 0.288
0.323 0.676 0.647
0.427 0.139 0.288
0.500 0.000 0.500
0.573 0.861 0.712
0.677 0.324 0.353
0.851 0.139 0.712
0.971 0.324 0.647
```

=====

# 6
Compound: Cs3K3Na2
Source: Alexandria via LeMat-Bulk
Functional: GGA-PBE
Structure: optimized geometry

Output
Formation enthalpy at 0 K ... 0.025 eV per atom
Energy ... -1.037 eV/atom

Structure (POSCAR):
```
Cs3K3Na2
1.0
6.925 0.000 0.000
0.008 7.181 0.000
3.452 3.496 12.395
Cs K Na
3 3 2
Direct
0.000 0.000 0.000
0.146 0.642 0.708
0.854 0.358 0.292
0.347 0.845 0.306
0.500 0.500 0.000
0.653 0.155 0.694
0.246 0.237 0.505
0.754 0.763 0.495
```

=====

# 7
Compound: Cs7KNa4
Source: Alexandria via LeMat-Bulk
Functional: GGA-PBE
Structure: optimized geometry

Output
Formation enthalpy at 0 K ... 0.051 eV per atom
Energy ... -0.978 eV/atom

Structure (POSCAR):
```
Cs7KNa4
1.0
10.028 -4.109 0.000
10.028 4.109 0.000
-8.267 0.000 12.259
Cs K Na
7 1 4
Direct
0.000 0.000 0.000
0.197 0.197 0.648
0.287 0.287 0.111
0.429 0.429 0.615
0.571 0.571 0.385
0.713 0.713 0.889
0.803 0.803 0.352
0.500 0.500 0.000
0.035 0.035 0.745
0.179 0.179 0.336
0.821 0.821 0.664
0.965 0.965 0.255
```

=====

# 8
Compound: CsK2Na3
Source: Alexandria via LeMat-Bulk
Functional: GGA-PBE
Structure: optimized geometry

Output
Formation enthalpy at 0 K ... 0.027 eV per atom
Energy ... -1.141 eV/atom

Structure (POSCAR):
```
CsK2Na3
1.0
4.844 0.000 0.000
0.000 4.844 0.000
0.000 0.000 14.926
Cs K Na
1 2 3
Direct
0.000 0.000 0.000
0.000 0.000 0.343
0.000 0.000 0.657
0.500 0.500 0.196
0.500 0.500 0.500
0.500 0.500 0.804
```

=====

# 9
Compound: CsK3Na8
Source: Alexandria via LeMat-Bulk
Functional: GGA-PBE
Structure: optimized geometry

Output
Formation enthalpy at 0 K ... 0.003 eV per atom
Energy ... -1.222 eV/atom

Structure (POSCAR):
```
CsK3Na8
1.0
3.733 2.155 12.369
-3.733 2.155 12.369
0.000 -4.311 12.369
Cs K Na
1 3 8
Direct
0.000 0.000 0.000
0.127 0.127 0.127
0.500 0.500 0.500
0.623 0.623 0.623
0.062 0.062 0.558
0.062 0.558 0.062
0.066 0.564 0.564
0.312 0.312 0.312
0.558 0.062 0.062
0.564 0.066 0.564
0.564 0.564 0.066
0.813 0.813 0.813
```

=====

# 10
Compound: CsK12Na2
Source: Alexandria via LeMat-Bulk
Functional: GGA-PBE
Structure: optimized geometry

Output
Formation enthalpy at 0 K ... 0.100 eV per atom
Energy ... -1.011 eV/atom

Structure (POSCAR):
```
CsK12Na2
1.0
8.316 0.000 0.000
0.000 8.316 0.000
0.000 0.000 33.871
Cs K Na
2 24 4
Direct
0.250 0.750 0.000
0.750 0.250 0.000
0.001 0.501 0.122
0.001 0.999 0.878
0.070 0.570 0.440
0.070 0.930 0.560
0.250 0.250 0.219
0.250 0.250 0.338
0.250 0.250 0.662
0.250 0.250 0.781
0.430 0.570 0.560
0.430 0.930 0.440
0.499 0.501 0.878
0.499 0.999 0.122
0.501 0.001 0.878
0.501 0.499 0.122
0.570 0.070 0.560
0.570 0.430 0.440
0.750 0.750 0.219
0.750 0.750 0.338
0.750 0.750 0.662
0.750 0.750 0.781
0.930 0.070 0.440
0.930 0.430 0.560
0.999 0.001 0.122
0.999 0.499 0.878
0.250 0.750 0.237
0.250 0.750 0.763
0.750 0.250 0.237
0.750 0.250 0.763
```

=====

# 11
Compound: Cs5K5Na2
Source: Alexandria via LeMat-Bulk
Functional: GGA-PBE
Structure: optimized geometry

Output
Formation enthalpy at 0 K ... 0.021 eV per atom
Energy ... -1.012 eV/atom

Structure (POSCAR):
```
Cs5K5Na2
1.0
11.594 -3.603 0.000
11.594 3.603 0.000
-8.761 0.000 11.860
Cs K Na
5 5 2
Direct
0.000 0.000 0.000
0.129 0.129 0.827
0.168 0.168 0.508
0.832 0.832 0.492
0.871 0.871 0.173
0.249 0.249 0.236
0.440 0.440 0.757
0.500 0.500 0.500
0.560 0.560 0.243
0.751 0.751 0.764
0.354 0.354 0.940
0.646 0.646 0.060
```

=====

# 12
Compound: Cs2K2Na3
Source: Alexandria via LeMat-Bulk
Functional: GGA-PBE
Structure: optimized geometry

Output
Formation enthalpy at 0 K ... 0.024 eV per atom
Energy ... -1.099 eV/atom

Structure (POSCAR):
```
Cs2K2Na3
1.0
8.837 0.000 0.000
0.000 12.236 0.000
-2.869 0.000 8.565
Cs K Na
4 4 6
Direct
0.138 0.154 0.131
0.138 0.346 0.631
0.862 0.654 0.369
0.862 0.846 0.869
0.369 0.688 0.924
0.369 0.812 0.424
0.631 0.188 0.576
0.631 0.312 0.076
0.000 0.000 0.500
0.000 0.500 0.000
0.369 0.017 0.805
0.369 0.483 0.305
0.631 0.517 0.695
0.631 0.983 0.195
```

=====

# 13
Compound: Cs4K19Na6
Source: Alexandria via LeMat-Bulk
Functional: GGA-PBE
Structure: optimized geometry

Output
Formation enthalpy at 0 K ... 0.094 eV per atom
Energy ... -1.016 eV/atom

Structure (POSCAR):
```
Cs4K19Na6
1.0
-8.293 8.293 8.293
8.293 -8.293 8.293
8.293 8.293 -8.293
Cs K Na
4 19 6
Direct
0.000 0.000 0.400
0.000 0.400 0.000
0.400 0.000 0.000
0.600 0.600 0.600
0.000 0.000 0.000
0.000 0.276 0.276
0.000 0.724 0.724
0.071 0.694 0.325
0.255 0.624 0.929
0.276 0.000 0.276
0.276 0.276 0.000
0.306 0.376 0.631
0.325 0.071 0.694
0.369 0.745 0.675
0.376 0.631 0.306
0.624 0.929 0.255
0.631 0.306 0.376
0.675 0.369 0.745
0.694 0.325 0.071
0.724 0.000 0.724
0.724 0.724 0.000
0.745 0.675 0.369
0.929 0.255 0.624
0.099 0.500 0.599
0.401 0.901 0.500
0.500 0.401 0.901
0.500 0.599 0.099
0.599 0.099 0.500
0.901 0.500 0.401
```

=====

# 14
Compound: Cs3KNa
Source: Alexandria via LeMat-Bulk
Functional: GGA-PBE
Structure: optimized geometry

Output
Formation enthalpy at 0 K ... 0.037 eV per atom
Energy ... -0.958 eV/atom

Structure (POSCAR):
```
Cs3KNa
1.0
16.825 -2.911 0.000
16.825 2.911 0.000
-1.536 0.000 9.463
Cs K Na
6 2 2
Direct
0.001 0.001 0.265
0.197 0.197 0.098
0.362 0.362 0.431
0.638 0.638 0.569
0.803 0.803 0.902
0.999 0.999 0.735
0.414 0.414 0.959
0.586 0.586 0.041
0.239 0.239 0.598
0.761 0.761 0.402
```

=====

# 15
Compound: Cs2KNa8
Source: Alexandria via LeMat-Bulk
Functional: GGA-PBE
Structure: optimized geometry

Output
Formation enthalpy at 0 K ... 0.053 eV per atom
Energy ... -1.162 eV/atom

Structure (POSCAR):
```
Cs2KNa8
1.0
10.796 -3.570 0.000
10.796 3.570 0.000
-1.197 0.000 7.508
Cs K Na
2 1 8
Direct
0.183 0.183 0.418
0.817 0.817 0.582
0.500 0.500 0.000
0.023 0.023 0.744
0.090 0.573 0.076
0.420 0.420 0.469
0.427 0.910 0.924
0.573 0.090 0.076
0.580 0.580 0.531
0.910 0.427 0.924
0.977 0.977 0.256
```

=====

# 16
Compound: Cs15K2Na2
Source: Alexandria via LeMat-Bulk
Functional: GGA-PBE
Structure: optimized geometry

Output
Formation enthalpy at 0 K ... 0.089 eV per atom
Energy ... -0.839 eV/atom

Structure (POSCAR):
```
Cs15K2Na2
1.0
7.518 4.340 10.464
-7.518 4.340 10.464
0.000 -8.681 10.464
Cs K Na
15 2 2
Direct
0.000 0.000 0.500
0.000 0.294 0.706
0.000 0.500 0.000
0.000 0.706 0.294
0.198 0.561 0.561
0.294 0.000 0.706
0.294 0.706 0.000
0.439 0.439 0.802
0.439 0.802 0.439
0.500 0.000 0.000
0.561 0.198 0.561
0.561 0.561 0.198
0.706 0.000 0.294
0.706 0.294 0.000
0.802 0.439 0.439
0.291 0.291 0.291
0.709 0.709 0.709
0.063 0.063 0.063
0.937 0.937 0.937
```

=====

# 17
Compound: Cs4KNa2
Source: Alexandria via LeMat-Bulk
Functional: GGA-PBE
Structure: optimized geometry

Output
Formation enthalpy at 0 K ... 0.139 eV per atom
Energy ... -0.882 eV/atom

Structure (POSCAR):
```
Cs4KNa2
1.0
-4.177 4.177 10.466
4.177 -4.177 10.466
4.177 4.177 -10.466
Cs K Na
4 1 2
Direct
0.000 0.500 0.500
0.217 0.217 0.000
0.500 0.000 0.500
0.783 0.783 0.000
0.000 0.000 0.000
0.416 0.416 0.000
0.584 0.584 0.000
```

=====

# 18
Compound: CsK3Na
Source: Alexandria via LeMat-Bulk
Functional: GGA-PBE
Structure: optimized geometry

Output
Formation enthalpy at 0 K ... 0.018 eV per atom
Energy ... -1.075 eV/atom

Structure (POSCAR):
```
CsK3Na
1.0
6.758 -9.533 0.000
6.758 9.533 0.000
0.000 0.000 5.753
Cs K Na
2 6 2
Direct
0.207 0.793 0.000
0.793 0.207 0.000
0.000 0.000 0.500
0.173 0.436 0.500
0.436 0.173 0.500
0.500 0.500 0.000
0.564 0.827 0.500
0.827 0.564 0.500
0.196 0.196 0.000
0.804 0.804 0.000
```

=====

# 19
Compound: CsK8Na6
Source: Alexandria via LeMat-Bulk
Functional: GGA-PBE
Structure: optimized geometry

Output
Formation enthalpy at 0 K ... 0.035 eV per atom
Energy ... -1.135 eV/atom

Structure (POSCAR):
```
CsK8Na6
1.0
5.948 3.434 7.401
-5.948 3.434 7.401
0.000 -6.868 7.401
Cs K Na
1 8 6
Direct
0.000 0.000 0.000
0.058 0.610 0.769
0.231 0.942 0.390
0.390 0.231 0.942
0.392 0.392 0.392
0.608 0.608 0.608
0.610 0.769 0.058
0.769 0.058 0.610
0.942 0.390 0.231
0.014 0.309 0.623
0.309 0.623 0.014
0.377 0.986 0.691
0.623 0.014 0.309
0.691 0.377 0.986
0.986 0.691 0.377
```